Record 1
LiPrZnCd PBE optimized geometry; ΔH_f (0 K) = -0.2942 eV per atom; total magnetic moment = 0.0 μB per cell; total DFT energy (no corrections) = -2.51 eV/atom
1.0
4.9374 0.0000 0.0000
2.4687 4.2760 0.0000
2.4687 1.4253 4.0314
Cd Li Pr Zn
1 1 1 1
direct
0.0000 0.0000 0.0000
0.2500 0.2500 0.2500
0.5000 0.5000 0.5000
0.7500 0.7500 0.7500

***

Record 2
Rb2Cd5Au PBE optimized geometry; ΔH_f (0 K) = -0.0871 eV per atom; total magnetic moment = 0.0 μB per cell; total DFT energy (no corrections) = -1.31 eV/atom
1.0
6.5894 -0.0003 -0.0001
-0.0002 6.5897 -0.0001
-3.2947 -3.2949 6.4000
Cd Rb Au
5 2 1
direct
0.2777 0.7885 0.0664
0.7887 0.7887 0.0665
0.7885 0.2777 0.0664
0.6714 0.6714 0.3428
0.2777 0.2777 0.0663
0.2877 0.7877 0.5753
0.7877 0.2877 0.5753
0.8975 0.8975 0.7950

***

Record 3
Pa2Co5Ge PBE optimized geometry; ΔH_f (0 K) = -0.3210 eV per atom; total magnetic moment = 0.0 μB per cell; total DFT energy (no corrections) = -7.71 eV/atom
1.0
5.4961 0.0236 0.0337
-2.6854 4.7955 -0.0337
-2.6854 -1.6630 4.4980
Co Pa Ge
5 2 1
direct
0.0000 0.7361 0.2914
0.5553 0.2914 0.2914
0.0000 0.2914 0.7361
0.0000 0.2532 0.2532
0.4447 0.7361 0.7361
0.5000 0.2509 0.7509
0.5000 0.7509 0.2509
0.0000 0.9121 0.9121

***

Record 4
Dy2Y3Sc8 PBE optimized geometry; ΔH_f (0 K) = 0.2512 eV per atom; total magnetic moment = 0.0 μB per cell; total DFT energy (no corrections) = -5.84 eV/atom
1.0
6.6186 0.0000 -0.7124
0.0000 8.7632 0.0000
-3.6491 -4.3816 6.8205
Sc Dy Y
8 2 3
direct
0.4079 0.5638 0.7529
0.8725 0.5610 0.1221
0.5921 0.4362 0.2471
0.1275 0.4390 0.8779
0.5921 0.8109 0.2471
0.0047 0.8044 0.6087
0.9953 0.1956 0.3913
0.4079 0.1891 0.7529
0.5602 0.2415 0.4830
0.4398 0.7585 0.5170
0.0000 0.1837 0.0000
0.5000 0.0000 0.0000
0.0000 0.8163 0.0000

***

Record 5
Dy4Y8Tm3 PBE optimized geometry; ΔH_f (0 K) = 0.1536 eV per atom; total magnetic moment = 0.0 μB per cell; total DFT energy (no corrections) = -5.42 eV/atom
1.0
2.3999 5.5280 3.4128
2.4972 -0.7097 6.4207
12.3202 -0.3350 -1.0935
Dy Y Tm
4 8 3
direct
0.0000 0.0000 0.0000
0.5000 0.5000 0.5000
0.3359 0.3359 0.9922
0.6641 0.6641 0.0078
0.2496 0.7519 0.7489
0.2481 0.7504 0.2511
0.7504 0.7504 0.2511
0.2447 0.2447 0.2660
0.7519 0.2496 0.7489
0.2496 0.2496 0.7489
0.7553 0.7553 0.7340
0.7504 0.2481 0.2511
0.0000 0.0000 0.5000
0.5000 0.0000 0.5000
0.0000 0.5000 0.5000

***

Record 6
Pm4NdHo2Sc PBE optimized geometry; ΔH_f (0 K) = 0.0266 eV per atom; total magnetic moment = 0.0 μB per cell; total DFT energy (no corrections) = -4.88 eV/atom
1.0
5.0652 0.0000 0.0000
0.0001 11.1659 -1.4711
0.0000 2.8454 4.1862
Pm Ho Nd Sc
4 2 1 1
direct
0.5000 0.2519 0.7487
0.0000 0.7482 0.7513
0.0000 0.2518 0.2487
0.5000 0.7481 0.2513
0.0000 0.0000 0.0000
0.5000 0.0000 0.5000
0.5000 0.5000 0.0000
0.0000 0.5000 0.5000